First-principles (PBE-GGA) data for a relaxed NaCd2I crystal, as listed in Alexandria.

The value obtained for the energy above the most stable polymorph in this dataset is 215.8 meV per atom. As for the uncorrected formation energy: -1.363 kcal/mol of atoms. The energy comes out at -1.234 eV/atom.

The space group is Fm-3m (No. 225) and the conventional cell measures 8.3115, 8.3115 and 8.3115 Å, with angles of 90.00, 90.00 and 90.00 degrees. Symmetry generates all atoms from Na at (0.0000, 0.0000, 0.0000), Cd at (0.2500, 0.2500, 0.2500) and I at (0.0000, 0.0000, 0.5000).

First-principles (PBE-GGA) data for a relaxed NaCd2I2 crystal, as listed in Alexandria.

The value obtained for the energy above the most stable polymorph in this dataset is 50.2 meV per atom. As for the uncorrected formation energy: -9.097 kcal/mol of atoms. The energy comes out at -1.644 eV/atom.

The space group is P4/mbm (No. 127) and the conventional cell measures 8.8045, 8.8045 and 5.7746 Å, with angles of 90.00, 90.00 and 90.00 degrees. Symmetry generates all atoms from Na at (0.0000, 0.0000, 0.0000), Cd at (0.1135, 0.3865, 0.5000) and I at (0.2175, 0.2825, 0.0000).

First-principles (PBE-GGA) data for a relaxed NaCd3I crystal, as listed in Alexandria.

The value obtained for the energy above the most stable polymorph in this dataset is 225.2 meV per atom. As for the uncorrected formation energy: 8.496 kcal/mol of atoms. The energy comes out at -0.754 eV/atom.

The space group is Pm-3m (No. 221) and the conventional cell measures 6.4585, 6.4585 and 6.4585 Å, with angles of 90.00, 90.00 and 90.00 degrees. Symmetry generates all atoms from Na at (0.0000, 0.0000, 0.0000), Cd at (0.0000, 0.5000, 0.5000) and I at (0.5000, 0.5000, 0.5000).